The following is a PBE calculation of Th2SiAu after structural relaxation, from Alexandria.

## Properties
Crystal system ... tetragonal
Formation energy without anion corrections ... -207 kJ/mol of formula units
E above lowest polymorph ... 108 meV per atom
Magnetization ... 0.00 μB per atom

Cell lengths 3.7462, 3.7462, 7.0430 Å; angles 90.00, 90.00, 90.00 degrees
Fractional positions:
Th 0.0000 0.0000 0.2341
Th 0.0000 0.0000 0.7659
Si 0.5000 0.5000 0.0000
Au 0.5000 0.5000 0.5000